No. 1
The following is a GGA-PBE calculation of LaZrW2 after structural relaxation, from Alexandria.

Unit cell a=5.818 b=5.818 c=5.818 alpha=139.46 beta=139.46 gamma=58.68
Element x y z (fractional)
La1 0.750 0.250 0.500
W1 0.000 0.000 0.000
W2 0.500 0.500 0.000
Zr1 0.250 0.750 0.500

Properties
The value obtained for the relative energy among the computed polymorphs is 0.569 eV per atom. The total energy is -9.027 eV per atom.

***

No. 2
The following is a GGA-PBE calculation of Ba5Tc4 after structural relaxation, from Alexandria.

Unit cell a=10.515 b=10.515 c=6.888 alpha=90.00 beta=90.00 gamma=120.00
Site moments in Bohr magnetons follow the coordinates.
Element x y z (fractional)
Ba1 0.000 0.668 0.250  -0.02
Ba2 0.332 0.332 0.250  -0.02
Ba3 0.668 0.000 0.250  -0.02
Ba4 0.000 0.332 0.750  -0.02
Ba5 0.668 0.668 0.750  -0.02
Ba6 0.332 0.000 0.750  -0.02
Ba7 0.667 0.333 0.000  -0.07
Ba8 0.333 0.667 0.500  -0.07
Ba9 0.333 0.667 0.000  -0.07
Ba10 0.667 0.333 0.500  -0.07
Tc1 0.000 0.000 0.000  -0.21
Tc2 0.000 0.000 0.500  -0.21
Tc3 0.000 0.170 0.250  0.61
Tc4 0.830 0.830 0.250  0.61
Tc5 0.170 0.000 0.250  0.61
Tc6 0.000 0.830 0.750  0.61
Tc7 0.170 0.170 0.750  0.61
Tc8 0.830 0.000 0.750  0.61

Properties
The total energy is -4.785 eV per atom.

***

No. 3
The following is a GGA-PBE calculation of La2Pr2In4Au after structural relaxation, from Alexandria.

Unit cell a=7.276 b=7.276 c=7.276 alpha=88.86 beta=120.66 gamma=120.66
Element x y z (fractional)
La1 0.500 0.750 0.250
La2 0.500 0.250 0.750
Pr1 0.000 0.719 0.719
Pr2 0.000 0.281 0.281
In1 0.000 0.731 0.269
In2 0.461 0.731 0.731
In3 0.000 0.269 0.731
In4 0.539 0.269 0.269
Au1 0.000 0.000 0.000

Properties
The total energy is -4.101 eV per atom.

***

No. 4
The following is a GGA-PBE calculation of V2Ga2Au after structural relaxation, from Alexandria.

Unit cell a=7.013 b=7.013 c=3.251 alpha=90.00 beta=90.00 gamma=90.00
Element x y z (fractional)
Au1 0.000 0.000 0.000
Au2 0.500 0.500 0.000
Ga1 0.191 0.691 0.500
Ga2 0.691 0.809 0.500
Ga3 0.809 0.309 0.500
Ga4 0.309 0.191 0.500
V1 0.394 0.894 0.000
V2 0.894 0.606 0.000
V3 0.606 0.106 0.000
V4 0.106 0.394 0.000

Properties
The value obtained for the relative energy among the computed polymorphs is 0.047 eV per atom. The total energy is -5.484 eV per atom.

***

Which energy of formation belongs to each record? In order, 0.8183, 0.8905, -0.3625, 0.0299 eV per atom.